Record 1
# TcAsBr2 | Alexandria | PBE-GGA | optimized geometry
data_TcAsBr2
_chemical_formula_sum 'Tc1 As1 Br2'
_space_group_name_H-M_alt 'P 1'
_space_group_IT_number 1
_cell_length_a 4.747
_cell_length_b 4.747
_cell_length_c 4.747
_cell_angle_alpha 60.00
_cell_angle_beta 60.00
_cell_angle_gamma 60.00
loop_
_space_group_symop_operation_xyz
'x,y,z'
loop_
_atom_site_label
_atom_site_type_symbol
_atom_site_fract_x
_atom_site_fract_y
_atom_site_fract_z
Tc1 Tc 0.000 0.000 0.000
As1 As 0.500 0.500 0.500
Br1 Br 0.250 0.250 0.250
Br2 Br 0.750 0.750 0.750
# Raw formation energy   0.9680 eV/atom

---

Record 2
# MgCrCd2 | Alexandria | PBE-GGA | optimized geometry
data_MgCrCd2
_chemical_formula_sum 'Mg1 Cr1 Cd2'
_space_group_name_H-M_alt 'P 1'
_space_group_IT_number 1
_cell_length_a 4.183
_cell_length_b 4.336
_cell_length_c 4.366
_cell_angle_alpha 90.00
_cell_angle_beta 90.00
_cell_angle_gamma 90.00
loop_
_space_group_symop_operation_xyz
'x,y,z'
loop_
_atom_site_label
_atom_site_type_symbol
_atom_site_fract_x
_atom_site_fract_y
_atom_site_fract_z
Mg1 Mg 0.000 0.000 0.000
Cr1 Cr 0.000 0.500 0.500
Cd1 Cd 0.500 0.000 0.500
Cd2 Cd 0.500 0.500 0.000
# Energy of formation from the pure elements   181 meV/atom

---

| no. | DOS at the Fermi energy (states/eV/cell) |
| --- | --- |
| 1 | 3.99 |
| 2 | 2.05 |